{"formula": "Pu2ZrTl", "functional": "PBE-GGA", "state": "optimized geometry", "lattice_angstrom": [[5.038, 0.000, 0.000], [0.000, 4.408, 0.000], [0.000, 0.000, 4.408]], "species": ["Pu", "Pu", "Zr", "Tl"], "frac_coords": [[0.000, 0.500, 0.000], [0.000, 0.000, 0.500], [0.500, 0.000, 0.000], [0.500, 0.500, 0.500]], "formation_energy_ev_per_atom": 0.025, "relative_energy_ev_per_fu": 0.00}



{"formula": "Np2TlSn9", "functional": "PBE-GGA", "state": "optimized geometry", "lattice_angstrom": [[4.663, 0.000, 0.000], [0.000, 4.663, 0.000], [0.000, 0.000, 14.529]], "species": ["Sn", "Sn", "Sn", "Sn", "Sn", "Sn", "Sn", "Sn", "Sn", "Tl", "Np", "Np"], "frac_coords": [[0.500, 0.000, 0.500], [0.500, 0.500, 0.664], [0.500, 0.000, 0.824], [0.000, 0.500, 0.176], [0.000, 0.500, 0.500], [0.000, 0.500, 0.824], [0.500, 0.500, 0.000], [0.500, 0.500, 0.336], [0.500, 0.000, 0.176], [0.000, 0.000, 0.000], [0.000, 0.000, 0.655], [0.000, 0.000, 0.345]], "formation_energy_ev_per_atom": -0.044}



{"formula": "Er8Cd2Hg", "functional": "PBE-GGA", "state": "optimized geometry", "lattice_angstrom": [[-3.838, -2.042, -2.822], [-2.496, -3.239, 5.738], [-2.047, 9.014, 1.023]], "species": ["Er", "Er", "Er", "Er", "Er", "Er", "Er", "Er", "Cd", "Cd", "Hg"], "frac_coords": [[0.978, 0.236, 0.955], [0.592, 0.459, 0.185], [0.022, 0.764, 0.045], [0.408, 0.541, 0.815], [0.335, 0.036, 0.670], [0.665, 0.964, 0.330], [0.803, 0.699, 0.606], [0.197, 0.301, 0.394], [0.814, 0.288, 0.628], [0.186, 0.712, 0.372], [0.500, 0.000, 0.000]], "formation_energy_ev_per_atom": -0.143}



{"formula": "Na3Ho2US6", "functional": "PBE-GGA", "state": "optimized geometry", "lattice_angstrom": [[6.896, 0.000, 0.001], [-3.447, 5.973, 0.001], [-1.150, -1.991, 6.693]], "species": ["S", "S", "S", "S", "S", "S", "Na", "Na", "Na", "Ho", "Ho", "U"], "frac_coords": [[0.924, 0.588, 0.773], [0.588, 0.924, 0.773], [0.740, 0.740, 0.228], [0.260, 0.260, 0.772], [0.412, 0.076, 0.227], [0.076, 0.412, 0.227], [0.832, 0.168, 0.500], [0.168, 0.832, 0.500], [0.500, 0.500, 0.500], [0.333, 0.667, 0.000], [0.667, 0.333, 0.000], [0.000, 0.000, 0.000]], "formation_energy_uncorrected_ev_per_atom": -1.65}



| no. | Fermi-level density of states (states/eV/f.u.) |
| --- | --- |
| 1 | 10.05 |
| 2 | 26.55 |
| 3 | 11.02 |
| 4 | 9.94 |